Entry 1:
First-principles (GGA-PBE) data for IrRh2Cl after structural relaxation, as listed in the Alexandria database.

The structure in extended XYZ format:
```
4
Lattice="4.758 -1.403 0.000 4.758 1.403 0.000 -0.956 0.000 4.724" Properties=species:S:1:pos:R:3 pbc="T T T"
Ir 0.000 0.000 0.000
Rh 1.972 0.000 3.550
Rh 4.431 0.000 2.533
Cl 6.418 0.000 1.323
```

Summary:
Distance to the lowest polymorph of the same formula   283 meV/atom
Density of states at the Fermi level   5.35 states/eV/cell
Energy relative to the elements, uncorrected   0.56 eV per atom



Entry 2:
First-principles (GGA-PBE) data for TaTeRh2 after structural relaxation, as listed in the Alexandria database.

The structure in extended XYZ format:
```
4
Lattice="-1.863 2.133 4.264 1.863 -2.133 4.264 1.863 2.133 -4.264" Properties=species:S:1:pos:R:3 pbc="T T T"
Ta 0.000 0.000 0.000
Te 0.000 2.133 2.138
Rh 1.863 0.000 2.323
Rh 0.000 0.000 4.544
```

Summary:
Density of states at the Fermi level   3.01 states/eV/cell
Energy relative to the elements, uncorrected   -0.11 eV per atom